(1)
Here is an optimized crystal structure of CeDyHfZr from Alexandria. Energies are from PBE.

Results
DOS(E_F): 10.1 states/eV per cell
SG: F-43m (216)
calculated volume: 25.793 Å³/atom
spin magnetization: 0.0011 μB per atom
crystal system: cubic
energy relative to the elements: 238.9 meV/atom

Unit cell a=5.265 b=5.265 c=5.265 alpha=60.00 beta=60.00 gamma=60.00
Sites, in units of the cell vectors:
Zr1 0.250 0.250 0.250
Dy1 0.500 0.500 0.500
Ce1 0.750 0.750 0.750
Hf1 0.000 0.000 0.000

(2)
Here is an optimized crystal structure of Ce2DyHg4 from Alexandria. Energies are from PBE.

Results
DOS(E_F): 18.9 states/eV per cell
SG: R-3m (166)
calculated volume: 29.695 Å³/atom
spin magnetization: 0.3337 μB per atom
crystal system: trigonal
energy relative to the elements: -226.1 meV/atom
offset from the most stable computed form: 0 meV/atom

Unit cell a=5.207 b=5.207 c=9.349 alpha=73.83 beta=73.83 gamma=60.00
Sites, in units of the cell vectors:
Hg1 0.628 0.628 0.116
Ce1 0.755 0.755 0.736
Hg2 0.126 0.126 0.622
Ce2 0.245 0.245 0.264
Dy1 0.000 0.000 0.000
Hg3 0.372 0.372 0.884
Hg4 0.874 0.874 0.378